Entry from Alexandria: a geometry-optimized BeAsI2N structure (PBE-GGA).

abc: 5.778 5.778 3.163
angles: 90.00 90.00 90.00
Sites, in units of the cell vectors:
1 Be 0.000 0.000 0.000
2 As 0.500 0.500 0.500
3 I 0.000 0.500 0.000
4 I 0.500 0.000 0.000
5 N 0.000 0.000 0.500

**Formation energy without anion corrections**: 64.48 kJ/mol of atoms
**Energy above the lowest structure with this stoichiometry**: 0.0 meV per atom
**D(E_F)**: 6.743 states/eV/f.u.

=====

Entry from Alexandria: a geometry-optimized BeAsIN2 structure (PBE-GGA).

abc: 3.952 3.952 5.159
angles: 90.00 90.00 90.00
Sites, in units of the cell vectors:
1 Be 0.000 0.000 0.000
2 As 0.500 0.500 0.500
3 I 0.000 0.000 0.500
4 N 0.000 0.500 0.000
5 N 0.500 0.000 0.000

**Formation energy without anion corrections**: 154.61 kJ/mol of atoms
**Energy above the lowest structure with this stoichiometry**: 219.7 meV per atom
**D(E_F)**: 2.868 states/eV/f.u.

=====

Entry from Alexandria: a geometry-optimized Be2NiAsI structure (PBE-GGA).

abc: 4.230 4.230 5.103
angles: 90.00 90.00 90.00
Sites, in units of the cell vectors:
1 Be 0.000 0.500 0.000
2 Be 0.500 0.000 0.000
3 Ni 0.000 0.000 0.000
4 As 0.500 0.500 0.500
5 I 0.000 0.000 0.500

**Formation energy without anion corrections**: 84.15 kJ/mol of atoms
**D(E_F)**: 2.821 states/eV/f.u.

=====

Entry from Alexandria: a geometry-optimized BeAsIO2 structure (PBE-GGA).

abc: 3.748 3.748 7.084
angles: 90.00 90.00 90.00
Sites, in units of the cell vectors:
1 Be 0.000 0.000 0.000
2 As 0.500 0.500 0.500
3 I 0.500 0.500 0.000
4 O 0.000 0.500 0.500
5 O 0.500 0.000 0.500

**Formation energy without anion corrections**: -1.25 kJ/mol of atoms
**Energy above the lowest structure with this stoichiometry**: 0.0 meV per atom
**D(E_F)**: 1.279 states/eV/f.u.

=====

Entry from Alexandria: a geometry-optimized BeAsIO2 structure (PBE-GGA).

abc: 3.858 3.858 4.901
angles: 90.00 90.00 90.00
Sites, in units of the cell vectors:
1 Be 0.000 0.000 0.000
2 As 0.500 0.500 0.500
3 I 0.000 0.000 0.500
4 O 0.000 0.500 0.000
5 O 0.500 0.000 0.000

**Formation energy without anion corrections**: 14.57 kJ/mol of atoms
**Energy above the lowest structure with this stoichiometry**: 163.9 meV per atom
**D(E_F)**: 4.011 states/eV/f.u.

=====

Entry from Alexandria: a geometry-optimized Rb2BeAsI6 structure (PBE-GGA).

abc: 8.423 8.423 8.423
angles: 117.79 117.79 93.88
Sites, in units of the cell vectors:
1 Rb 0.250 0.750 0.500
2 Rb 0.750 0.250 0.500
3 Be 0.000 0.000 0.000
4 As 0.500 0.500 0.000
5 I 0.197 0.197 0.000
6 I 0.268 0.268 0.536
7 I 0.268 0.732 0.000
8 I 0.732 0.268 0.000
9 I 0.732 0.732 0.464
10 I 0.803 0.803 0.000

**Formation energy without anion corrections**: -60.58 kJ/mol of atoms
**D(E_F)**: 0.000 states/eV/f.u.